Below is a relaxed Cs2HfInI6 crystal, with properties calculated at the PBE level.

The structure in extended XYZ format:
```
10
Lattice="-2.1528 1.6587 8.3952 -7.9375 -3.6219 -1.3199 -2.7835 -6.5505 5.2179" Properties=species:S:1:pos:R:3 pbc="T T T"
In -5.0452 -0.9816 3.5376
I -3.8336 -3.9650 4.4378
Cs -7.8831 -5.5770 3.7178
I -3.4959 0.4327 6.1397
I -7.7477 -1.5074 5.4326
I -6.5945 -2.3959 0.9356
Hf 0.0000 0.0000 0.0000
I -9.0403 -4.5487 7.8554
I -2.3426 -0.4558 1.6426
Cs -4.9908 -2.9367 8.5753
```

symmetry	Fm-3m, No. 225
E_form (uncorrected)	-9.892	eV per formula unit
E above lowest polymorph	0.09	eV/f.u.
uncorrected energy	-33.59	eV per cell

---

Below is a relaxed SbPPt6Pb2 crystal, with properties calculated at the PBE level.

The structure in extended XYZ format:
```
20
Lattice="-5.9166 -2.7585 -1.5328 2.5173 -1.6753 -6.7017 2.7015 -7.3837 2.8605" Properties=species:S:1:pos:R:3 pbc="T T T"
Sb -2.2923 -1.8225 -2.5395
Pt -2.8855 -2.9386 -4.8602
Pt -0.7947 -6.9257 0.8642
Pb 2.9147 -6.3187 0.1212
Sb 3.2020 -4.9239 -3.4983
Pt -2.1213 -6.5663 -2.7103
P 1.9049 -1.2677 -5.0713
Pb 1.3805 -2.1255 -1.5033
Pt 0.2486 -4.3645 0.7350
Pt -1.8237 -3.5405 -7.4165
Pb 0.6966 -7.8114 -3.2984
Pt -3.1831 -5.9645 -0.1541
Pt 2.9752 -3.2937 -5.5565
Pt 4.4060 -7.2044 -4.0414
Pt -0.2154 -1.6938 -4.1685
Pt -2.0654 -3.4527 -0.4813
Pt 1.1252 -5.0527 -1.8693
Pt 0.6611 -2.3820 -6.7727
Pb -0.4707 -4.6209 -4.5345
P -0.9951 -5.4787 -0.9665
```

symmetry	Pmmn, No. 59
E_form (uncorrected)	-2.669	eV per formula unit
uncorrected energy	-111.73	eV per cell

---

Below is a relaxed Ho2Tm3Hg4 crystal, with properties calculated at the PBE level.

The structure in extended XYZ format:
```
18
Lattice="6.8888 0.0000 0.0000 0.0000 7.9089 0.0000 -3.4444 0.0000 8.9037" Properties=species:S:1:pos:R:3 pbc="T T T"
Tm 5.1666 1.9772 4.2430
Hg -1.7222 5.9317 7.7149
Ho 0.0000 4.6598 1.6933
Tm 3.4444 3.9545 0.0000
Tm 1.7222 5.9317 4.6607
Hg 0.0000 7.6436 2.9615
Ho 3.4444 3.2491 7.2105
Hg 1.7222 5.9317 7.7149
Ho 0.0000 0.7054 7.2105
Hg 3.4444 4.2197 2.9615
Hg 0.0000 3.6892 5.9422
Hg 1.7222 1.9772 1.1888
Tm 0.0000 0.0000 0.0000
Hg 5.1666 1.9772 1.1888
Hg 3.4444 0.2653 5.9422
Tm -1.7222 5.9317 4.6607
Ho 3.4444 7.2036 1.6933
Tm 1.7222 1.9772 4.2430
```

symmetry	Cmce, No. 64
uncorrected energy	-53.39	eV per cell
calculated formation energy	-0.32	eV/atom

---

Below is a relaxed AcHo5Zn6 crystal, with properties calculated at the PBE level.

The structure in extended XYZ format:
```
12
Lattice="-3.1934 3.9356 0.5109 -4.3678 -2.8947 -4.9979 0.0010 -4.3002 7.7357" Properties=species:S:1:pos:R:3 pbc="T T T"
Ho -2.8391 0.7253 2.0609
Zn -3.0421 0.1773 5.0137
Ac 0.0000 0.0000 0.0000
Ho -5.0624 -0.7615 -0.3807
Zn -2.8123 1.1618 -1.1358
Zn -2.4716 -2.0800 0.5770
Ho -4.7210 -3.9846 1.1878
Ho -2.4977 -2.4978 3.6295
Zn -4.5180 -3.4367 -1.7650
Ho -2.1839 -1.4474 -2.4989
Zn -4.7489 -0.1209 -3.3512
Zn -5.0885 -1.1793 2.6718
```

symmetry	Immm, No. 71
uncorrected energy	-38.21	eV per cell
calculated formation energy	-0.30	eV/atom

---

Below is a relaxed CdIn3Tc crystal, with properties calculated at the PBE level.

The structure in extended XYZ format:
```
5
Lattice="5.2408 0.0000 0.0000 0.0000 5.2408 0.0000 0.0000 0.0000 5.2408" Properties=species:S:1:pos:R:3 pbc="T T T"
In 2.6204 0.0000 0.0000
In 0.0000 0.0000 2.6204
In 0.0000 2.6204 0.0000
Cd 2.6204 2.6204 2.6204
Tc 0.0000 0.0000 0.0000
```

symmetry	Pm-3m, No. 221
E above lowest polymorph	0.00	eV/f.u.
uncorrected energy	-17.78	eV per cell
calculated formation energy	0.34	eV/atom

---

Below is a relaxed NdSn2Pd2 crystal, with properties calculated at the PBE level.

The structure in extended XYZ format:
```
10
Lattice="6.2962 -0.3936 0.0000 -3.2674 5.3964 0.0000 -1.5144 -2.5014 7.1732" Properties=species:S:1:pos:R:3 pbc="T T T"
Sn -3.5694 3.8701 3.5866
Sn -1.3317 4.2245 0.0000
Nd 3.1481 -0.1968 3.5866
Sn 4.3605 0.7783 0.0000
Pd -1.6337 2.6982 2.1628
Pd -1.6337 2.6982 5.0104
Sn 0.3020 1.5263 3.5866
Pd 1.5144 2.5014 5.7494
Nd 1.5144 2.5014 0.0000
Pd 0.0000 0.0000 1.4238
```

symmetry	Fddd, No. 70
uncorrected energy	-53.18	eV per cell
calculated formation energy	-0.69	eV/atom

---

Below is a relaxed YTmZnAu crystal, with properties calculated at the PBE level.

The structure in extended XYZ format:
```
4
Lattice="-0.1850 4.1254 2.9026 -0.1646 -0.4545 5.0244 4.0014 1.3079 2.7849" Properties=species:S:1:pos:R:3 pbc="T T T"
Zn 0.0000 0.0000 0.0000
Au 1.8259 2.4894 5.3559
Tm 0.9130 1.2447 2.6779
Y 2.7389 3.7341 8.0338
```

symmetry	F-43m, No. 216
uncorrected energy	-17.92	eV per cell
calculated formation energy	-0.61	eV/atom

---

Below is a relaxed ZnSbIr4 crystal, with properties calculated at the PBE level.

The structure in extended XYZ format:
```
6
Lattice="0.0000 3.7267 3.7267 3.7267 0.0000 3.7267 3.7267 3.7267 0.0000" Properties=species:S:1:pos:R:3 pbc="T T T"
Ir 4.6608 4.6608 4.6608
Zn 0.0000 0.0000 0.0000
Ir 2.7926 4.6608 2.7926
Sb 1.8633 1.8633 1.8633
Ir 2.7926 2.7926 4.6608
Ir 4.6608 2.7926 2.7926
```

symmetry	F-43m, No. 216
E_form (uncorrected)	2.144	eV per formula unit
uncorrected energy	-38.70	eV per cell

---

Below is a relaxed NiWSe2N crystal, with properties calculated at the PBE level.

The structure in extended XYZ format:
```
5
Lattice="-1.4301 -1.9721 4.4054 -2.4173 -3.6843 -2.4340 3.1365 -2.1073 0.0749" Properties=species:S:1:pos:R:3 pbc="T T T"
N 1.5682 -1.0537 0.0374
Ni -0.3555 -3.8818 1.0231
Se -0.7151 -0.9860 2.2027
Se -1.2087 -1.8422 -1.2170
W 0.0000 0.0000 0.0000
```

symmetry	P4/mmm, No. 123
E_form (uncorrected)	2.853	eV per formula unit
E above lowest polymorph	0.00	eV/f.u.
uncorrected energy	-31.18	eV per cell

---

Below is a relaxed LaPm4Dy7 crystal, with properties calculated at the PBE level.

The structure in extended XYZ format:
```
12
Lattice="6.4391 -1.8956 2.7414 0.7457 5.8179 2.2694 2.8221 -2.3517 10.9095" Properties=species:S:1:pos:R:3 pbc="T T T"
Dy 1.9784 2.4392 1.8246
Dy 5.4009 -0.7581 5.9719
Pm 2.1849 0.1909 4.5894
La 0.0000 0.0000 0.0000
Pm 4.1583 2.6219 6.4308
Dy 4.6060 2.3287 9.9485
Dy 3.2196 -0.9478 1.3707
Pm 7.8220 1.3797 11.3309
Dy 7.3761 1.6774 7.7887
Dy 2.6308 -0.1068 8.1316
Dy 8.0285 -0.8686 14.0958
Pm 5.8486 -1.0513 9.4895
```

symmetry	P-1, No. 2
E above lowest polymorph	0.00	eV/f.u.
uncorrected energy	-56.03	eV per cell
calculated formation energy	0.01	eV/atom

---

Below is a relaxed CeTiBi crystal, with properties calculated at the PBE level.

The structure in extended XYZ format:
```
6
Lattice="3.8100 0.0000 0.0000 -1.9050 5.5584 -0.3535 0.0000 -2.7865 6.9981" Properties=species:S:1:pos:R:3 pbc="T T T"
Ce 1.9050 -0.3410 5.8905
Bi 0.0000 0.0000 0.0000
Ce 0.0000 3.1129 0.7541
Ti 0.0000 1.9139 4.3095
Bi 0.0000 -1.3933 3.4990
Ti 1.9050 0.8580 2.3350
```

symmetry	C2/m, No. 12
uncorrected energy	-36.36	eV per cell
calculated formation energy	-0.16	eV/atom

---

Below is a relaxed NiAg2Rh crystal, with properties calculated at the PBE level.

The structure in extended XYZ format:
```
4
Lattice="-1.6392 -1.9077 1.2377 2.2688 -1.3113 0.9837 2.0340 3.0816 7.4435" Properties=species:S:1:pos:R:3 pbc="T T T"
Ag 2.0343 3.0383 7.3772
Ag 0.2526 -0.4099 2.8773
Ni 2.1490 0.9607 4.3269
Rh 2.4131 0.2401 6.7405
```

symmetry	Pm, No. 6
E above lowest polymorph	0.00	eV/f.u.
uncorrected energy	-18.24	eV per cell
calculated formation energy	0.15	eV/atom

---

Below is a relaxed Li4Pd2F9 crystal, with properties calculated at the PBE level.

The structure in extended XYZ format:
```
30
Lattice="5.2019 -0.0463 0.0266 2.5601 4.5166 -0.0309 0.0139 -0.2829 14.4373" Properties=species:S:1:pos:R:3 pbc="T T T"
F 4.3423 1.3850 3.5908
F 4.1193 1.3703 8.4050
Li 5.1334 2.6710 11.9774
F 1.6259 -0.0626 3.7835
Li 5.1221 2.8005 7.4807
F 3.2974 0.0813 1.2096
F 3.6566 2.8171 6.0279
F 1.7420 -0.0687 8.3737
Li 5.1247 2.8723 4.6455
F 5.9997 1.3934 6.1072
F 6.9511 2.9811 3.7671
F 6.7307 2.5777 13.2298
Pd 2.5807 4.2273 12.3075
Li 5.1937 2.9751 0.2419
Pd 5.1952 -0.0398 2.1254
F 1.0452 1.6098 1.2031
F 3.4167 2.8518 1.1388
Pd 5.2083 -0.2267 9.4199
F 4.4785 4.1062 13.2233
F 3.4336 2.8025 10.8421
Li 2.6426 1.5165 2.4555
Li 2.5822 1.2124 14.1910
F 6.1500 4.2501 10.6495
F 0.8249 1.2064 10.6658
Li 2.6512 1.3152 9.7874
Li 2.6538 1.3869 6.9522
F 4.3593 1.3357 13.2942
F 1.7762 2.7941 8.3258
F 6.0339 4.2562 6.0592
Pd 2.5676 4.4142 5.0130
```

symmetry	P-1, No. 2
E_form (uncorrected)	-31.252	eV per formula unit
uncorrected energy	-132.27	eV per cell

---

Below is a relaxed LiMnCr2 crystal, with properties calculated at the PBE level.

The structure in extended XYZ format:
```
4
Lattice="-4.1411 -0.8158 -0.7330 -3.0695 -2.8488 -0.9024 -0.7420 -0.7823 4.6932" Properties=species:S:1:pos:R:3 pbc="T T T"
Cr -0.0178 -0.0101 0.0090
Cr -5.9679 -3.3350 2.2704
Li -3.9736 -2.2211 1.5180
Mn -1.9697 -1.1041 0.7893
```

symmetry	Cm, No. 8
E above lowest polymorph	0.67	eV/f.u.
uncorrected energy	-28.68	eV per cell
calculated formation energy	0.41	eV/atom

---

Below is a relaxed LiTaS2 crystal, with properties calculated at the PBE level.

The structure in extended XYZ format:
```
8
Lattice="-0.8067 -2.1502 5.2190 5.6396 -0.0852 0.8366 2.2014 3.6628 4.9641" Properties=species:S:1:pos:R:3 pbc="T T T"
Li 5.1287 1.2299 4.4142
S 0.7459 -0.4528 4.6413
S 5.9164 0.7906 9.0271
Ta 0.0000 0.0000 0.0000
S 3.9795 0.6076 2.3824
Li 2.4164 -1.1177 3.0278
Ta 1.9056 0.1974 6.6054
S 3.4269 1.9094 5.9885
```

symmetry	I-42d, No. 122
E_form (uncorrected)	-2.842	eV per formula unit
uncorrected energy	-49.73	eV per cell

---

Below is a relaxed PmPr2Si6 crystal, with properties calculated at the PBE level.

The structure in extended XYZ format:
```
9
Lattice="-3.9703 0.9991 0.8786 -1.6200 -6.9664 0.6012 2.2001 3.6825 5.7547" Properties=species:S:1:pos:R:3 pbc="T T T"
Pr -4.3169 -2.4177 3.1976
Si -2.8744 -5.2438 2.9518
Si -0.5158 2.9589 4.2826
Si -0.8670 -0.4705 6.5954
Si -1.5977 -1.6936 4.6841
Si -1.7925 -0.5912 2.5503
Si -2.5232 -1.8143 0.6390
Pr 0.9267 0.1329 4.0368
Pm 2.2001 3.6825 5.7546
```

symmetry	P6/mmm, No. 191
E_form (uncorrected)	-5.168	eV per formula unit
uncorrected energy	-52.02	eV per cell

---

Below is a relaxed LaCoCu3 crystal, with properties calculated at the PBE level.

The structure in extended XYZ format:
```
5
Lattice="-3.7910 -2.8485 1.9283 -1.2884 -1.4849 -4.7264 3.1894 -3.9856 0.3827" Properties=species:S:1:pos:R:3 pbc="T T T"
La 0.0000 0.0000 0.0000
Co -0.9449 -4.1595 -1.2077
Cu 1.5947 -1.9928 0.1914
Cu -0.6442 -0.7424 -2.3632
Cu -1.8955 -1.4243 0.9641
```

symmetry	Pm-3m, No. 221
E above lowest polymorph	7.16	eV/f.u.
uncorrected energy	-15.96	eV per cell
calculated formation energy	1.67	eV/atom

---

Below is a relaxed SnSbPt6 crystal, with properties calculated at the PBE level.

The structure in extended XYZ format:
```
8
Lattice="-2.0395 -0.2456 3.5272 -3.0416 -1.9543 -1.8948 3.5790 -7.0979 1.5753" Properties=species:S:1:pos:R:3 pbc="T T T"
Pt -2.5406 -1.0999 0.8162
Pt 1.6694 -5.4560 2.9473
Sn 0.0000 0.0000 0.0000
Pt -0.1300 -1.8874 2.1552
Pt 1.1684 -6.3104 0.2363
Sb 1.7895 -3.5489 0.7877
Pt -0.6310 -2.7418 -0.5558
Pt -0.7511 -4.6488 1.6039
```

symmetry	P4/mmm, No. 123
E_form (uncorrected)	-2.116	eV per formula unit
uncorrected energy	-46.49	eV per cell

---

Below is a relaxed TaBe9Fe2 crystal, with properties calculated at the PBE level.

The structure in extended XYZ format:
```
12
Lattice="4.1296 0.0000 1.2290 1.8819 3.6759 1.2290 0.1067 0.0653 7.1937" Properties=species:S:1:pos:R:3 pbc="T T T"
Be 4.6017 1.5333 3.4727
Be 3.4618 3.3974 3.4727
Be 3.6107 2.2079 6.8024
Ta 0.0000 0.0000 0.0000
Be 2.1108 1.2907 8.0122
Fe 5.1919 3.1747 5.2121
Be 1.5165 2.2079 6.1791
Be 3.0591 1.8706 4.8259
Be 4.0074 2.4504 1.6396
Be 2.6564 0.3437 6.1791
Fe 0.9264 0.5664 4.4397
Be 2.5075 1.5333 2.8494
```

symmetry	R-3m, No. 166
uncorrected energy	-64.75	eV per cell
calculated formation energy	-0.20	eV/atom

---

Below is a relaxed Tb4InHg7 crystal, with properties calculated at the PBE level.

The structure in extended XYZ format:
```
12
Lattice="5.4062 0.0000 0.0000 2.7031 9.3370 0.0780 2.7031 0.5128 6.4620" Properties=species:S:1:pos:R:3 pbc="T T T"
Hg 5.4062 4.4830 1.7162
Hg 2.7031 0.0000 0.0000
Tb 8.1093 6.7557 5.5057
Tb 5.4062 2.3990 3.9772
Tb 2.7031 3.0941 1.0343
Hg 5.4062 5.3668 4.8238
Tb 5.4062 7.4508 2.5628
Hg 8.1093 8.7955 3.1788
Hg 8.1093 3.6232 5.2356
In 0.0000 0.0000 0.0000
Hg 2.7031 1.0543 3.3612
Hg 2.7031 6.2266 1.3044
```

symmetry	C2/m, No. 12
uncorrected energy	-26.62	eV per cell
calculated formation energy	-0.27	eV/atom